P.
## Dy2Ho3Er5 (PBE)

Data for an optimized crystal structure of Dy2Ho3Er5.

DOS(E_F): 1.876 states/eV/atom
symmetry: C2/c

a = 9.3832 Å, b = 9.3832 Å, c = 9.3723 Å
α = 108.36°, β = 108.36°, γ = 111.69°
With the nearest neighbours (Å) after each atom.
Atoms (fractional coordinates):
Dy (0.0146, 0.2696, 0.0472)  3 Ho 3.14-3.43, 5 Er 3.25-3.50
Dy (0.2696, 0.0146, 0.5472)  3 Ho 3.14-3.43, 5 Er 3.25-3.50
Dy (0.7304, 0.9854, 0.4528)  3 Ho 3.14-3.43, 5 Er 3.25-3.50
Dy (0.9854, 0.7304, 0.9528)  3 Ho 3.14-3.43, 5 Er 3.25-3.50
Ho (0.0212, 0.9788, 0.7500)  3 Er 3.22-3.49, 4 Dy 3.26-3.43, 2 Ho 3.39
Ho (0.2217, 0.4670, 0.4519)  1 Dy 3.14, 6 Er 3.27-3.50, 1 Ho 3.39
Ho (0.4670, 0.2217, 0.9519)  1 Dy 3.14, 6 Er 3.27-3.50, 1 Ho 3.39
Ho (0.5330, 0.7783, 0.0481)  1 Dy 3.14, 6 Er 3.27-3.50, 1 Ho 3.39
Ho (0.7783, 0.5330, 0.5481)  1 Dy 3.14, 6 Er 3.27-3.50, 1 Ho 3.39
Ho (0.9788, 0.0212, 0.2500)  3 Er 3.22-3.49, 4 Dy 3.26-3.43, 2 Ho 3.39
Er (0.1407, 0.3896, 0.7788)  3 Ho 3.41-3.60, 2 Dy 3.42-3.61, 3 Er 3.48-3.54
Er (0.2289, 0.7711, 0.7500)  5 Ho 3.22-3.43, 2 Dy 3.40, 2 Er 3.48
Er (0.2751, 0.7249, 0.2500)  1 Er 3.09, 2 Dy 3.25
Er (0.3896, 0.1407, 0.2788)  3 Ho 3.41-3.60, 2 Dy 3.42-3.61, 3 Er 3.48-3.54
Er (0.4741, 0.5259, 0.2500)  1 Er 3.09, 2 Ho 3.27
Er (0.5259, 0.4741, 0.7500)  1 Er 3.09, 2 Ho 3.27
Er (0.6104, 0.8593, 0.7212)  3 Ho 3.41-3.60, 2 Dy 3.42-3.61, 3 Er 3.48-3.54
Er (0.7249, 0.2751, 0.7500)  1 Er 3.09, 2 Dy 3.25
Er (0.7711, 0.2289, 0.2500)  5 Ho 3.22-3.43, 2 Dy 3.40, 2 Er 3.48
Er (0.8593, 0.6104, 0.2212)  3 Ho 3.41-3.60, 2 Dy 3.42-3.61, 3 Er 3.48-3.54

Q.
## Dy2Ho3Er5 (PBE)

Data for an optimized crystal structure of Dy2Ho3Er5.

DOS(E_F): 1.555 states/eV/atom
symmetry: Ibam

a = 10.9557 Å, b = 10.9557 Å, c = 10.9557 Å
α = 109.46°, β = 80.02°, γ = 147.16°
With the nearest neighbours (Å) after each atom.
Atoms (fractional coordinates):
Dy (0.1567, 0.1001, 0.2568)  1 Er 3.14, 3 Ho 3.30-3.42
Dy (0.3433, 0.6001, 0.9434)  1 Er 3.14, 3 Ho 3.30-3.42
Dy (0.6567, 0.3999, 0.0566)  1 Er 3.14, 3 Ho 3.30-3.42
Dy (0.8433, 0.8999, 0.7432)  1 Er 3.14, 3 Ho 3.30-3.42
Ho (0.2500, 0.2500, 0.0000)  2 Ho 3.10, 2 Er 3.17, 4 Dy 3.30
Ho (0.2501, 0.3407, 0.5908)  4 Dy 3.42-3.64, 4 Er 3.44-3.62
Ho (0.2499, 0.8407, 0.0906)  4 Dy 3.42-3.64, 4 Er 3.44-3.62
Ho (0.7501, 0.1593, 0.9094)  4 Dy 3.42-3.64, 4 Er 3.44-3.62
Ho (0.7499, 0.6593, 0.4092)  4 Dy 3.42-3.64, 4 Er 3.44-3.62
Ho (0.7500, 0.7500, 0.0000)  2 Ho 3.10, 2 Er 3.17, 4 Dy 3.30
Er (0.1564, 0.5988, 0.7552)  1 Dy 3.14, 2 Er 3.29, 1 Ho 3.44
Er (0.2500, 0.5008, 0.2508)  3 Er 3.10-3.15, 1 Ho 3.17
Er (0.2500, 0.7500, 0.5000)  8 Er 3.10-3.29
Er (0.2500, 0.9992, 0.7492)  3 Er 3.10-3.15, 1 Ho 3.17
Er (0.3436, 0.0988, 0.4424)  1 Dy 3.14, 2 Er 3.29, 1 Ho 3.44
Er (0.6564, 0.9012, 0.5576)  1 Dy 3.14, 2 Er 3.29, 1 Ho 3.44
Er (0.7500, 0.0008, 0.2508)  3 Er 3.10-3.15, 1 Ho 3.17
Er (0.7500, 0.2500, 0.5000)  8 Er 3.10-3.29
Er (0.7500, 0.4992, 0.7492)  3 Er 3.10-3.15, 1 Ho 3.17
Er (0.8436, 0.4012, 0.2448)  1 Dy 3.14, 2 Er 3.29, 1 Ho 3.44

Short version: P is the most stable of them.